DFT (GGA-PBE) results for crystalline Pm2Zn2Au3 at its relaxed geometry.

Geometry as extended XYZ:
```
7
Lattice="5.2202 -2.1051 0.0000 5.2202 2.1051 0.0000 -2.7284 0.0000 6.7253" Properties=species:S:1:pos:R:3 pbc="T T T"
Pm 0.6844 0.0000 1.7626
Pm 7.0277 0.0000 4.9627
Zn -0.3374 0.0000 4.7646
Zn 8.0495 0.0000 1.9607
Au 3.7744 0.0000 0.4427
Au 3.8561 0.0000 3.3627
Au 3.9377 0.0000 6.2826
```

Calculated values
As for the electronic total energy: -26.09 eV for the cell shown. The calculation puts the energy of formation from the pure elements at -4.2 eV/f.u. Its density of states at the Fermi level is 5.022 states/eV per cell.